No. 1
Here is crystalline Ta3P at its relaxed geometry from Alexandria via LeMat-Bulk. Energies are from PBE. Values from VASP.

Geometry as Quantum ESPRESSO input:
```
&SYSTEM
  ibrav = 0, nat = 16, ntyp = 2
/
ATOMIC_SPECIES
Ta 180.95 Ta.upf
P 30.97 P.upf
ATOMIC_POSITIONS angstrom
Ta -1.420 2.460 0.000
Ta -1.420 2.460 4.750
Ta 0.000 1.663 2.375
Ta -1.399 4.087 2.375
Ta 1.441 0.832 7.125
Ta 2.840 0.000 0.000
Ta 2.840 0.000 4.750
Ta 1.420 2.460 0.000
Ta 1.420 2.460 4.750
Ta 1.399 4.087 2.375
Ta 4.240 0.832 7.125
Ta 2.840 3.256 7.125
P 0.000 0.000 0.000
P 0.000 0.000 4.750
P 0.000 3.279 7.125
P 2.840 1.640 2.375
CELL_PARAMETERS angstrom
5.680 0.000 0.000
-2.840 4.919 0.000
0.000 0.000 9.500
```

Fermi-level density of states = 0.42 states/eV per atom
SG = P6_3/mmc
VASP energy = -10.32 eV/atom

---

No. 2
Here is crystalline TaP5 at its relaxed geometry from Alexandria via LeMat-Bulk. Energies are from PBE. Values from VASP.

Geometry as Quantum ESPRESSO input:
```
&SYSTEM
  ibrav = 0, nat = 6, ntyp = 2
/
ATOMIC_SPECIES
Ta 180.95 Ta.upf
P 30.97 P.upf
ATOMIC_POSITIONS angstrom
Ta 0.000 0.000 0.000
P 4.413 2.646 2.646
P 1.765 1.765 1.765
P 2.646 4.413 2.646
P 2.646 2.646 4.413
P 4.413 4.413 4.413
CELL_PARAMETERS angstrom
0.000 3.530 3.530
3.530 0.000 3.530
3.530 3.530 0.000
```

Fermi-level density of states = 0.43 states/eV per atom
SG = F-43m
VASP energy = -5.83 eV/atom
relative energy among the computed polymorphs = 0.658 eV/atom

---

No. 3
Here is crystalline Ta3P at its relaxed geometry from Alexandria via LeMat-Bulk. Energies are from PBE. Values from VASP.

Geometry as Quantum ESPRESSO input:
```
&SYSTEM
  ibrav = 0, nat = 8, ntyp = 2
/
ATOMIC_SPECIES
Ta 180.95 Ta.upf
P 30.97 P.upf
ATOMIC_POSITIONS angstrom
Ta 0.000 0.000 0.000
Ta 1.448 1.680 1.713
Ta 1.448 5.040 1.713
Ta 2.897 3.360 0.000
Ta 4.345 1.680 1.713
Ta 4.345 5.040 1.713
P 0.000 3.360 0.000
P 2.897 0.000 0.000
CELL_PARAMETERS angstrom
5.794 0.000 0.000
0.000 6.720 0.000
0.000 0.000 3.427
```

Fermi-level density of states = 0.51 states/eV per atom
SG = Cmmm
VASP energy = -10.40 eV/atom

---

No. 4
Here is crystalline Ta5P at its relaxed geometry from Alexandria via LeMat-Bulk. Energies are from PBE. Values from VASP.

Geometry as Quantum ESPRESSO input:
```
&SYSTEM
  ibrav = 0, nat = 12, ntyp = 2
/
ATOMIC_SPECIES
Ta 180.95 Ta.upf
P 30.97 P.upf
ATOMIC_POSITIONS angstrom
Ta 0.000 0.000 0.000
Ta -0.245 0.000 2.910
Ta 0.684 1.667 5.052
Ta 1.891 1.667 1.854
Ta 2.697 0.000 4.163
Ta 4.915 1.667 0.000
Ta 4.670 1.667 2.910
Ta 5.599 0.000 5.052
Ta 6.806 0.000 1.854
Ta 7.612 1.667 4.163
P 2.903 0.000 0.217
P 7.818 1.667 0.217
CELL_PARAMETERS angstrom
9.830 0.000 0.000
0.000 3.335 0.000
-1.176 0.000 6.471
```

Fermi-level density of states = 0.86 states/eV per atom
SG = Cm
VASP energy = -10.95 eV/atom
relative energy among the computed polymorphs = 0.000 eV/atom

---

No. 5
Here is crystalline Ta3P at its relaxed geometry from Alexandria via LeMat-Bulk. Energies are from PBE. Values from VASP.

Geometry as Quantum ESPRESSO input:
```
&SYSTEM
  ibrav = 0, nat = 12, ntyp = 2
/
ATOMIC_SPECIES
Ta 180.95 Ta.upf
P 30.97 P.upf
ATOMIC_POSITIONS angstrom
Ta 0.000 0.000 0.000
Ta 0.000 0.000 5.496
Ta 0.000 0.000 17.587
Ta 0.000 1.881 9.892
Ta 0.000 1.881 15.388
Ta 0.000 1.881 20.884
Ta 1.629 0.941 2.198
Ta 1.629 0.941 7.694
Ta 1.629 0.941 13.190
P 0.000 0.000 11.541
P 0.000 1.881 3.847
P 1.629 0.941 19.235
CELL_PARAMETERS angstrom
3.258 0.000 0.000
-1.629 2.822 0.000
0.000 0.000 23.082
```

Fermi-level density of states = 0.60 states/eV per atom
SG = R-3m
VASP energy = -10.45 eV/atom

---

No. 6
Here is crystalline Ta3P at its relaxed geometry from Alexandria via LeMat-Bulk. Energies are from PBE. Values from VASP.

Geometry as Quantum ESPRESSO input:
```
&SYSTEM
  ibrav = 0, nat = 4, ntyp = 2
/
ATOMIC_SPECIES
Ta 180.95 Ta.upf
P 30.97 P.upf
ATOMIC_POSITIONS angstrom
Ta 0.000 0.000 0.000
Ta 1.685 1.685 1.572
Ta 1.685 1.685 4.311
P 0.000 0.000 2.942
CELL_PARAMETERS angstrom
3.370 0.000 0.000
0.000 3.370 0.000
0.000 0.000 5.883
```

Fermi-level density of states = 0.65 states/eV per atom
SG = P4/mmm
VASP energy = -10.50 eV/atom

---

No. 7
Here is crystalline Ta4TcP at its relaxed geometry from Alexandria via LeMat-Bulk. Energies are from PBE. Values from VASP.

Geometry as Quantum ESPRESSO input:
```
&SYSTEM
  ibrav = 0, nat = 6, ntyp = 3
/
ATOMIC_SPECIES
Ta 180.95 Ta.upf
Tc 98.00 Tc.upf
P 30.97 P.upf
ATOMIC_POSITIONS angstrom
Ta 0.945 0.945 0.945
Ta 2.833 2.833 0.945
Ta 2.833 0.945 2.833
Ta 0.945 2.833 2.833
Tc 5.667 5.667 5.667
P 3.778 3.778 3.778
CELL_PARAMETERS angstrom
0.000 3.778 3.778
3.778 0.000 3.778
3.778 3.778 0.000
```

Fermi-level density of states = 0.40 states/eV per atom
SG = F-43m
VASP energy = -9.93 eV/atom

---

No. 8
Here is crystalline Ta2TcP2 at its relaxed geometry from Alexandria via LeMat-Bulk. Energies are from PBE. Values from VASP.

Geometry as Quantum ESPRESSO input:
```
&SYSTEM
  ibrav = 0, nat = 10, ntyp = 3
/
ATOMIC_SPECIES
Ta 180.95 Ta.upf
Tc 98.00 Tc.upf
P 30.97 P.upf
ATOMIC_POSITIONS angstrom
Ta 1.034 2.477 0.000
Ta 2.477 5.987 0.000
Ta 4.544 1.034 0.000
Ta 5.987 4.544 0.000
Tc 0.000 0.000 0.000
Tc 3.510 3.510 0.000
P 1.058 4.569 1.597
P 2.452 1.058 1.597
P 4.569 5.963 1.597
P 5.963 2.452 1.597
CELL_PARAMETERS angstrom
7.021 0.000 0.000
0.000 7.021 0.000
0.000 0.000 3.195
```

Fermi-level density of states = 0.71 states/eV per atom
SG = P4/mbm
VASP energy = -9.02 eV/atom
relative energy among the computed polymorphs = 0.471 eV/atom

---

No. 9
Here is crystalline Ta3TcP at its relaxed geometry from Alexandria via LeMat-Bulk. Energies are from PBE. Values from VASP.

Geometry as Quantum ESPRESSO input:
```
&SYSTEM
  ibrav = 0, nat = 5, ntyp = 3
/
ATOMIC_SPECIES
Ta 180.95 Ta.upf
Tc 98.00 Tc.upf
P 30.97 P.upf
ATOMIC_POSITIONS angstrom
Ta 0.000 0.000 2.269
Ta 0.000 2.269 0.000
Ta 2.269 0.000 0.000
Tc 2.269 2.269 2.269
P 0.000 0.000 0.000
CELL_PARAMETERS angstrom
4.538 0.000 0.000
0.000 4.538 0.000
0.000 0.000 4.538
```

Fermi-level density of states = 0.73 states/eV per atom
SG = Pm-3m
VASP energy = -9.75 eV/atom
relative energy among the computed polymorphs = 0.000 eV/atom

---

No. 10
Here is crystalline Ta3TcP at its relaxed geometry from Alexandria via LeMat-Bulk. Energies are from PBE. Values from VASP.

Geometry as Quantum ESPRESSO input:
```
&SYSTEM
  ibrav = 0, nat = 5, ntyp = 3
/
ATOMIC_SPECIES
Ta 180.95 Ta.upf
Tc 98.00 Tc.upf
P 30.97 P.upf
ATOMIC_POSITIONS angstrom
Ta 0.000 0.000 2.396
Ta 0.000 2.396 0.000
Ta 2.396 0.000 0.000
Tc 0.000 0.000 0.000
P 2.396 2.396 2.396
CELL_PARAMETERS angstrom
4.792 0.000 0.000
0.000 4.792 0.000
0.000 0.000 4.792
```

Fermi-level density of states = 0.85 states/eV per atom
SG = Pm-3m
VASP energy = -8.96 eV/atom
relative energy among the computed polymorphs = 0.790 eV/atom

---

No. 11
Here is crystalline Ta2TcP2 at its relaxed geometry from Alexandria via LeMat-Bulk. Energies are from PBE. Values from VASP.

Geometry as Quantum ESPRESSO input:
```
&SYSTEM
  ibrav = 0, nat = 10, ntyp = 3
/
ATOMIC_SPECIES
Ta 180.95 Ta.upf
Tc 98.00 Tc.upf
P 30.97 P.upf
ATOMIC_POSITIONS angstrom
Ta 0.000 0.000 1.593
Ta 0.000 0.000 12.693
Ta 1.652 1.652 5.550
Ta 1.652 1.652 8.736
Tc 0.000 0.000 7.143
Tc 1.652 1.652 0.000
P 0.000 1.652 3.571
P 0.000 1.652 10.714
P 1.652 0.000 3.571
P 1.652 0.000 10.714
CELL_PARAMETERS angstrom
3.303 0.000 0.000
0.000 3.303 0.000
0.000 0.000 14.286
```

Fermi-level density of states = 0.34 states/eV per atom
SG = I4/mmm
VASP energy = -9.25 eV/atom
relative energy among the computed polymorphs = 0.241 eV/atom

---

No. 12
Here is crystalline TaTc2P2 at its relaxed geometry from Alexandria via LeMat-Bulk. Energies are from PBE. Values from VASP.

Geometry as Quantum ESPRESSO input:
```
&SYSTEM
  ibrav = 0, nat = 10, ntyp = 3
/
ATOMIC_SPECIES
Ta 180.95 Ta.upf
Tc 98.00 Tc.upf
P 30.97 P.upf
ATOMIC_POSITIONS angstrom
Ta 0.000 0.000 0.000
Ta 3.470 3.470 0.000
Tc 0.998 2.472 1.460
Tc 2.472 5.942 1.460
Tc 4.468 0.998 1.460
Tc 5.942 4.468 1.460
P 1.082 4.552 0.000
P 2.388 1.082 0.000
P 4.552 5.857 0.000
P 5.857 2.388 0.000
CELL_PARAMETERS angstrom
6.940 0.000 0.000
0.000 6.940 0.000
0.000 0.000 2.919
```

Fermi-level density of states = 0.74 states/eV per atom
SG = P4/mbm
VASP energy = -9.02 eV/atom

---

No. 13
Here is crystalline TaTc4P at its relaxed geometry from Alexandria via LeMat-Bulk. Energies are from PBE. Values from VASP.

Geometry as Quantum ESPRESSO input:
```
&SYSTEM
  ibrav = 0, nat = 6, ntyp = 3
/
ATOMIC_SPECIES
Ta 180.95 Ta.upf
Tc 98.00 Tc.upf
P 30.97 P.upf
ATOMIC_POSITIONS angstrom
Ta 0.000 0.000 0.000
Tc 4.518 2.722 2.722
Tc 2.722 4.518 2.722
Tc 2.722 2.722 4.518
Tc 4.518 4.518 4.518
P 1.810 1.810 1.810
CELL_PARAMETERS angstrom
0.000 3.620 3.620
3.620 0.000 3.620
3.620 3.620 0.000
```

Fermi-level density of states = 0.88 states/eV per atom
SG = F-43m
VASP energy = -9.44 eV/atom

---

Number 1: ΔH_f (0 K) -0.078 eV/atom. Number 2: ΔH_f (0 K) 0.650 eV/atom. Number 3: ΔH_f (0 K) -0.153 eV/atom. Number 4: ΔH_f (0 K) -0.166 eV/atom. Number 5: ΔH_f (0 K) -0.208 eV/atom. Number 6: ΔH_f (0 K) -0.263 eV/atom. Number 7: ΔH_f (0 K) 0.602 eV/atom. Number 8: ΔH_f (0 K) -0.046 eV/atom. Number 9: ΔH_f (0 K) 0.514 eV/atom. Number 10: ΔH_f (0 K) 1.304 eV/atom. Number 11: ΔH_f (0 K) -0.275 eV/atom. Number 12: ΔH_f (0 K) -0.344 eV/atom. Number 13: ΔH_f (0 K) 0.348 eV/atom.